Record 1
Entry from Alexandria: a relaxed structure of SmAg3 (PBEsol).

Results
Spin magnetization in μB per atom: 0.00
Formation enthalpy at 0 K in meV per atom: -192

```
data_SmAg3
_chemical_formula_sum 'Sm2 Ag6'
_cell_length_a 6.2920
_cell_length_b 6.2920
_cell_length_c 4.7758
_cell_angle_alpha 90.00
_cell_angle_beta 90.00
_cell_angle_gamma 120.00
_symmetry_space_group_name_H-M 'P 63/m m c'
_symmetry_Int_Tables_number 194
_symmetry_space_group_name_Hall '-P 6c 2c'
loop_
_atom_site_label
_atom_site_fract_x
_atom_site_fract_y
_atom_site_fract_z
Sm1 0.3333 0.6667 0.2500
Ag1 0.1520 0.3041 0.7500
```

---

Record 2
Entry from Alexandria: a relaxed structure of SmAgSn (PBEsol).

Results
Spin magnetization in μB per atom: 0.00
Formation enthalpy at 0 K in meV per atom: -360

```
data_SmAgSn
_chemical_formula_sum 'Sm2 Ag2 Sn2'
_cell_length_a 4.8550
_cell_length_b 4.8550
_cell_length_c 7.0436
_cell_angle_alpha 90.00
_cell_angle_beta 90.00
_cell_angle_gamma 120.00
_symmetry_space_group_name_H-M 'P -3 m 1'
_symmetry_Int_Tables_number 164
_symmetry_space_group_name_Hall '-P 3 2"'
loop_
_atom_site_label
_atom_site_fract_x
_atom_site_fract_y
_atom_site_fract_z
Sm1 0.0000 0.0000 0.2318
Ag1 0.3333 0.6667 0.9883
Sn1 0.3333 0.6667 0.5426
```

---

Record 3
Entry from Alexandria: a relaxed structure of SmAg2Sn (PBEsol).

Results
Spin magnetization in μB per atom: 0.00
Formation enthalpy at 0 K in meV per atom: -416

```
data_SmAg2Sn
_chemical_formula_sum 'Sm4 Ag8 Sn4'
_cell_length_a 6.9603
_cell_length_b 6.9603
_cell_length_c 6.9603
_cell_angle_alpha 90.00
_cell_angle_beta 90.00
_cell_angle_gamma 90.00
_symmetry_space_group_name_H-M 'F m -3 m'
_symmetry_Int_Tables_number 225
_symmetry_space_group_name_Hall '-F 4 2 3'
loop_
_atom_site_label
_atom_site_fract_x
_atom_site_fract_y
_atom_site_fract_z
Sm1 0.0000 0.0000 0.0000
Ag1 0.2500 0.2500 0.2500
Sn1 0.0000 0.0000 0.5000
```

---

Record 4
Entry from Alexandria: a relaxed structure of SmTlAg2 (PBEsol).

Results
Spin magnetization in μB per atom: 0.00
Formation enthalpy at 0 K in meV per atom: -287

```
data_SmTlAg2
_chemical_formula_sum 'Sm4 Tl4 Ag8'
_cell_length_a 6.9820
_cell_length_b 6.9820
_cell_length_c 6.9820
_cell_angle_alpha 90.00
_cell_angle_beta 90.00
_cell_angle_gamma 90.00
_symmetry_space_group_name_H-M 'F m -3 m'
_symmetry_Int_Tables_number 225
_symmetry_space_group_name_Hall '-F 4 2 3'
loop_
_atom_site_label
_atom_site_fract_x
_atom_site_fract_y
_atom_site_fract_z
Sm1 0.0000 0.0000 0.0000
Tl1 0.0000 0.0000 0.5000
Ag1 0.2500 0.2500 0.2500
```

---

Record 5
Entry from Alexandria: a relaxed structure of SmZn2Ag (PBEsol).

Results
Spin magnetization in μB per atom: 0.00
Formation enthalpy at 0 K in meV per atom: -304

```
data_SmZn2Ag
_chemical_formula_sum 'Sm4 Zn8 Ag4'
_cell_length_a 6.6443
_cell_length_b 6.6443
_cell_length_c 6.6443
_cell_angle_alpha 90.00
_cell_angle_beta 90.00
_cell_angle_gamma 90.00
_symmetry_space_group_name_H-M 'F m -3 m'
_symmetry_Int_Tables_number 225
_symmetry_space_group_name_Hall '-F 4 2 3'
loop_
_atom_site_label
_atom_site_fract_x
_atom_site_fract_y
_atom_site_fract_z
Sm1 0.0000 0.0000 0.0000
Zn1 0.2500 0.2500 0.2500
Ag1 0.0000 0.0000 0.5000
```

---

Record 6
Entry from Alexandria: a relaxed structure of Sm2ZnAg (PBEsol).

Results
Spin magnetization in μB per atom: 0.00
Formation enthalpy at 0 K in meV per atom: -280

```
data_Sm2ZnAg
_chemical_formula_sum 'Sm8 Zn4 Ag4'
_cell_length_a 7.2192
_cell_length_b 7.2192
_cell_length_c 7.2192
_cell_angle_alpha 90.00
_cell_angle_beta 90.00
_cell_angle_gamma 90.00
_symmetry_space_group_name_H-M 'F m -3 m'
_symmetry_Int_Tables_number 225
_symmetry_space_group_name_Hall '-F 4 2 3'
loop_
_atom_site_label
_atom_site_fract_x
_atom_site_fract_y
_atom_site_fract_z
Sm1 0.2500 0.2500 0.2500
Zn1 0.0000 0.0000 0.0000
Ag1 0.0000 0.0000 0.5000
```

---

Record 7
Entry from Alexandria: a relaxed structure of Ag3Sn (PBEsol).

Results
Spin magnetization in μB per atom: 0.00
Formation enthalpy at 0 K in meV per atom: -43

```
data_Ag3Sn
_chemical_formula_sum 'Ag6 Sn2'
_cell_length_a 4.7529
_cell_length_b 5.9228
_cell_length_c 5.1297
_cell_angle_alpha 90.00
_cell_angle_beta 90.00
_cell_angle_gamma 90.00
_symmetry_space_group_name_H-M 'P m m n'
_symmetry_Int_Tables_number 59
loop_
_symmetry_equiv_pos_as_xyz
'x,y,z'
'-x,-y,-z'
'-x+1/2,-y+1/2,z'
'x+1/2,y+1/2,-z'
'x+1/2,-y,-z'
'-x+1/2,y,z'
'-x,y+1/2,-z'
'x,-y+1/2,z'
loop_
_atom_site_label
_atom_site_fract_x
_atom_site_fract_y
_atom_site_fract_z
Ag1 0.2500 0.0011 0.1635
Ag2 0.2500 0.2500 0.6734
Sn1 0.2500 0.7500 0.6687
```

---

Record 8
Entry from Alexandria: a relaxed structure of SrAg2Sn2 (PBEsol).

Results
Spin magnetization in μB per atom: 0.00
Formation enthalpy at 0 K in meV per atom: -383

```
data_SrAg2Sn2
_chemical_formula_sum 'Sr2 Ag4 Sn4'
_cell_length_a 4.6428
_cell_length_b 4.6428
_cell_length_c 11.4628
_cell_angle_alpha 90.00
_cell_angle_beta 90.00
_cell_angle_gamma 90.00
_symmetry_space_group_name_H-M 'I 4/m m m'
_symmetry_Int_Tables_number 139
_symmetry_space_group_name_Hall '-I 4 2'
loop_
_atom_site_label
_atom_site_fract_x
_atom_site_fract_y
_atom_site_fract_z
Sr1 0.0000 0.0000 0.0000
Ag1 0.0000 0.5000 0.2500
Sn1 0.0000 0.0000 0.3779
```

---

no.,mass density (Mg/m³)
1,9.61
2,8.71
3,9.55
4,11.13
5,8.81
6,8.37
7,10.17
8,7.27